Entry from Alexandria: ScCdHg2B at its PBEsol-relaxed geometry (SCAN).

Cell and atoms, written as POSCAR:
```
ScCdHg2B
1.0
4.445 0.000 0.000
0.000 4.632 0.000
0.000 0.000 4.632
Cd Hg B Sc
1 2 1 1
Cartesian
2.222 0.000 0.000 Cd
0.000 2.316 0.000 Hg
0.000 0.000 2.316 Hg
0.000 0.000 0.000 B
2.222 2.316 2.316 Sc
```

Summary:
Offset from the most stable computed form = 0 meV per atom
SG = P4/mmm
Magnetic moment = 0.00 μB/cell